1.
Density functional theory data (PBE-GGA) for a relaxed RbNa2BiH crystal.

Lattice parameters (Å, degrees): 5.1312 5.1312 5.5229 90.00 90.00 90.00
Last column: nearest neighbours and their distance in Å.
Fractional coordinates of all 5 atoms:
Na 0.0000 0.5000 0.0000  2 H 2.57
Na 0.5000 0.0000 0.0000  2 H 2.57
Bi 0.5000 0.5000 0.5000  4 Rb 3.63, 8 Na 3.77
H 0.0000 0.0000 0.0000  4 Na 2.57, 2 Rb 2.76
Rb 0.0000 0.0000 0.5000  2 H 2.76

Properties
DOS at the Fermi energy   0.846 states/eV per atom
Total DFT energy (no corrections)   -2.293 eV/atom

***

2.
Density functional theory data (PBE-GGA) for a relaxed Dy8YSc2 crystal.

Lattice parameters (Å, degrees): 5.3576 8.2329 9.1330 116.79 107.06 90.00
Last column: nearest neighbours and their distance in Å.
Fractional coordinates of all 11 atoms:
Sc 0.7980 0.2980 0.5960  10 Dy 3.29-3.51
Sc 0.2020 0.7020 0.4040  10 Dy 3.29-3.51
Dy 0.3570 0.1535 0.7140  3 Sc 3.29-3.41, 1 Y 3.29, 6 Dy 3.35-3.64
Dy 0.8385 0.8385 0.6769  2 Sc 3.40, 8 Dy 3.44-3.64, 2 Y 3.66
Dy 0.6430 0.8465 0.2860  3 Sc 3.29-3.41, 1 Y 3.29, 6 Dy 3.35-3.64
Dy 0.6430 0.4395 0.2860  3 Sc 3.29-3.41, 1 Y 3.29, 6 Dy 3.35-3.64
Dy 0.1615 0.1615 0.3231  2 Sc 3.41, 8 Dy 3.44-3.64, 2 Y 3.66
Dy 0.3570 0.5605 0.7140  3 Sc 3.29-3.41, 1 Y 3.29, 6 Dy 3.35-3.64
Dy 0.0000 0.6986 0.0000  7 Dy 3.27-3.51, 2 Sc 3.51, 2 Y 3.65
Dy 0.0000 0.3014 0.0000  7 Dy 3.27-3.51, 2 Sc 3.51, 2 Y 3.65
Y 0.5000 0.0000 0.0000  12 Dy 3.29-3.66

Properties
DOS at the Fermi energy   1.658 states/eV per atom
Total DFT energy (no corrections)   -4.961 eV/atom
E_form   0.13 eV per atom

***

3.
Density functional theory data (PBE-GGA) for a relaxed Sr2NbN2O2 crystal.

Lattice parameters (Å, degrees): 7.1201 7.1201 7.1201 146.82 146.82 47.63
Last column: nearest neighbours and their distance in Å.
Fractional coordinates of all 7 atoms:
Sr 0.3507 0.3507 0.0000  1 O 2.45
Sr 0.6493 0.6493 0.0000  1 O 2.45
N 0.5000 0.0000 0.5000  2 Nb 2.03
N 0.0000 0.5000 0.5000  2 Nb 2.03
O 0.8377 0.8377 0.0000  1 Nb 2.11
O 0.1623 0.1623 0.0000  1 Nb 2.11
Nb 0.0000 0.0000 0.0000  4 N 2.03, 2 O 2.11

Properties
DOS at the Fermi energy   0.559 states/eV per atom
Total DFT energy (no corrections)   -7.418 eV/atom

***

4.
Density functional theory data (PBE-GGA) for a relaxed NbPdSe4 crystal.

Lattice parameters (Å, degrees): 6.0382 6.0380 6.0381 110.30 110.30 107.82
Last column: nearest neighbours and their distance in Å.
Fractional coordinates of all 6 atoms:
Se 0.7419 0.6520 0.4931  1 Nb 2.46, 1 Pd 2.47
Se 0.3480 0.8411 0.0899  1 Nb 2.46, 1 Pd 2.47
Se 0.7512 0.2581 0.9101  1 Nb 2.46, 1 Pd 2.47
Se 0.1589 0.2489 0.5069  1 Nb 2.46, 1 Pd 2.47
Pd 0.5000 0.5000 0.0000  4 Se 2.47
Nb 0.7500 0.2500 0.5000  4 Se 2.46

Properties
DOS at the Fermi energy   0.673 states/eV per atom
Total DFT energy (no corrections)   -5.086 eV/atom

***

5.
Density functional theory data (PBE-GGA) for a relaxed Na2B3HO6 crystal.

Lattice parameters (Å, degrees): 8.7863 9.5801 12.0802 90.00 90.00 95.98
Last column: nearest neighbours and their distance in Å.
Fractional coordinates of all 96 atoms:
O 0.9811 0.2467 0.2363  1 H 1.04
O 0.6976 0.0545 0.0070  2 B 1.46
O 0.1931 0.5830 0.2424  1 B 1.35
O 0.8069 0.4170 0.7576  1 B 1.35
O 0.3024 0.9455 0.9930  2 B 1.46
O 0.6763 0.6524 0.0708  2 B 1.36-1.50
O 0.3971 0.1250 0.8574  2 B 1.46-1.49
O 0.9811 0.7467 0.2637  1 H 1.04
O 0.7699 0.2634 0.1180  2 B 1.38-1.51
O 0.7699 0.7634 0.3820  2 B 1.38-1.51
O 0.9340 0.6365 0.0232  1 H 1.01
O 0.4439 0.1541 0.3275  2 B 1.40-1.50
O 0.5348 0.2486 0.0151  2 B 1.46-1.48
O 0.1704 0.4641 0.6834  2 B 1.38-1.52
O 0.4652 0.2514 0.5151  2 B 1.46-1.48
O 0.0660 0.3635 0.9768  1 H 1.01
O 0.2205 0.7279 0.0815  2 B 1.41-1.51
O 0.6029 0.3750 0.3574  2 B 1.46-1.49
O 0.8296 0.0359 0.1834  2 B 1.38-1.52
O 0.0189 0.2533 0.7363  1 H 1.04
O 0.4439 0.6541 0.1725  2 B 1.40-1.50
O 0.6029 0.8750 0.1426  2 B 1.46-1.49
O 0.3024 0.4455 0.5070  2 B 1.46
O 0.5561 0.3459 0.8275  2 B 1.40-1.50
O 0.2301 0.7366 0.8820  2 B 1.38-1.51
O 0.8296 0.5359 0.3166  2 B 1.38-1.52
O 0.9340 0.1365 0.4768  1 H 1.01
O 0.0189 0.7533 0.7637  1 H 1.04
O 0.0660 0.8635 0.5232  1 H 1.01
O 0.3237 0.8476 0.5708  2 B 1.36-1.50
O 0.8450 0.8637 0.0406  2 B 1.37-1.52
O 0.2301 0.2366 0.6180  2 B 1.38-1.51
O 0.8069 0.9170 0.7424  1 B 1.35
O 0.7795 0.7721 0.5815  2 B 1.41-1.51
O 0.5348 0.7486 0.4849  2 B 1.46-1.48
O 0.1550 0.6363 0.5406  2 B 1.37-1.52
O 0.6976 0.5545 0.4930  2 B 1.46
O 0.8450 0.3637 0.4594  2 B 1.37-1.52
O 0.2205 0.2279 0.4185  2 B 1.41-1.51
O 0.4652 0.7514 0.9849  2 B 1.46-1.48
O 0.7795 0.2721 0.9185  2 B 1.41-1.51
O 0.1931 0.0830 0.2576  1 B 1.35
O 0.1704 0.9641 0.8166  2 B 1.38-1.52
O 0.6763 0.1524 0.4292  2 B 1.36-1.50
O 0.1550 0.1363 0.9594  2 B 1.37-1.52
O 0.3971 0.6250 0.6426  2 B 1.46-1.49
O 0.3237 0.3476 0.9292  2 B 1.36-1.50
O 0.5561 0.8459 0.6725  2 B 1.40-1.50
B 0.3109 0.2940 0.5145  4 O 1.46-1.51
B 0.6891 0.2060 0.0145  4 O 1.46-1.51
B 0.3109 0.7940 0.9855  4 O 1.46-1.51
B 0.6891 0.7060 0.4855  4 O 1.46-1.51
B 0.1433 0.8200 0.8205  3 O 1.38-1.39
B 0.7148 0.8479 0.6660  3 O 1.35-1.41
B 0.2641 0.5431 0.5935  4 O 1.46-1.52
B 0.2852 0.6521 0.1660  3 O 1.35-1.41
B 0.2641 0.0431 0.9065  4 O 1.46-1.52
B 0.8567 0.6800 0.3205  3 O 1.38-1.39
B 0.1433 0.3200 0.6795  3 O 1.38-1.39
B 0.4543 0.2617 0.9084  4 O 1.48-1.50
B 0.8163 0.2200 0.4545  3 O 1.36-1.40
B 0.1837 0.2800 0.9545  3 O 1.36-1.40
B 0.1837 0.7800 0.5455  3 O 1.36-1.40
B 0.2852 0.1521 0.3340  3 O 1.35-1.41
B 0.7148 0.3479 0.8340  3 O 1.35-1.41
B 0.5457 0.2383 0.4084  4 O 1.48-1.50
B 0.8567 0.1800 0.1795  3 O 1.38-1.39
B 0.4543 0.7617 0.5916  4 O 1.48-1.50
B 0.7359 0.4569 0.4065  4 O 1.46-1.52
B 0.8163 0.7200 0.0455  3 O 1.36-1.40
B 0.7359 0.9569 0.0935  4 O 1.46-1.52
B 0.5457 0.7383 0.0916  4 O 1.48-1.50
H 0.9335 0.8196 0.7526  1 O 1.04
H 0.0665 0.6804 0.2526  1 O 1.04
H 0.9602 0.3171 0.9610  1 O 1.01
H 0.0398 0.6829 0.0390  1 O 1.01
H 0.9602 0.8171 0.5390  1 O 1.01
H 0.0665 0.1804 0.2474  1 O 1.04
H 0.9335 0.3196 0.7474  1 O 1.04
H 0.0398 0.1829 0.4610  1 O 1.01
Na 0.4061 0.0683 0.6566  5 O 2.39-2.63
Na 0.9125 0.5571 0.6186  4 O 2.28-2.51
Na 0.5939 0.9317 0.3434  5 O 2.39-2.63
Na 0.4320 0.0677 0.1350  5 O 2.31-2.59
Na 0.0213 0.5418 0.8544  5 O 2.31-2.50, 2 H 2.52-2.54
Na 0.9125 0.0571 0.8814  4 O 2.28-2.51
Na 0.9787 0.9582 0.3544  5 O 2.31-2.50, 2 H 2.52-2.54
Na 0.5939 0.4317 0.1566  5 O 2.39-2.63
Na 0.5680 0.9323 0.8650  5 O 2.31-2.59
Na 0.4061 0.5683 0.8434  5 O 2.39-2.63
Na 0.0213 0.0418 0.6456  5 O 2.31-2.50, 2 H 2.52-2.54
Na 0.9787 0.4582 0.1456  5 O 2.31-2.50, 2 H 2.52-2.54
Na 0.5680 0.4323 0.6350  5 O 2.31-2.59
Na 0.0875 0.4429 0.3814  4 O 2.28-2.51
Na 0.0875 0.9429 0.1186  4 O 2.28-2.51
Na 0.4320 0.5677 0.3650  5 O 2.31-2.59

Properties
DOS at the Fermi energy   0.000 states/eV per atom
Total DFT energy (no corrections)   -6.836 eV/atom

***

6.
Density functional theory data (PBE-GGA) for a relaxed Ba3Sb2O9 crystal.

Lattice parameters (Å, degrees): 7.6419 7.6419 7.6419 87.09 87.09 87.09
Last column: nearest neighbours and their distance in Å.
Fractional coordinates of all 28 atoms:
O 0.3940 0.1060 0.2500  2 Sb 2.11
O 0.9246 0.0768 0.7386  1 Sb 1.96
O 0.7500 0.6060 0.8940  2 Sb 2.11
O 0.8940 0.7500 0.6060  2 Sb 2.11
O 0.2500 0.3940 0.1060  2 Sb 2.11
O 0.5768 0.4246 0.2386  1 Sb 1.96
O 0.0754 0.9232 0.2614  1 Sb 1.96
O 0.7386 0.9246 0.0768  1 Sb 1.96
O 0.4232 0.5754 0.7614  1 Sb 1.96
O 0.0768 0.7386 0.9246  1 Sb 1.96
O 0.2614 0.0754 0.9232  1 Sb 1.96
O 0.1060 0.2500 0.3940  2 Sb 2.11
O 0.4246 0.2386 0.5768  1 Sb 1.96
O 0.9232 0.2614 0.0754  1 Sb 1.96
O 0.6060 0.8940 0.7500  2 Sb 2.11
O 0.5754 0.7614 0.4232  1 Sb 1.96
O 0.7614 0.4232 0.5754  1 Sb 1.96
O 0.2386 0.5768 0.4246  1 Sb 1.96
Ba 0.9088 0.5913 0.2500  12 O 2.90-3.12
Ba 0.0912 0.4088 0.7500  12 O 2.90-3.12
Ba 0.4088 0.7500 0.0912  12 O 2.90-3.12
Ba 0.2500 0.9088 0.5913  12 O 2.90-3.12
Ba 0.7500 0.0912 0.4088  12 O 2.90-3.12
Ba 0.5913 0.2500 0.9088  12 O 2.90-3.12
Sb 0.6446 0.6446 0.6446  6 O 1.96-2.11
Sb 0.8554 0.8554 0.8554  6 O 1.96-2.11
Sb 0.3554 0.3554 0.3554  6 O 1.96-2.11
Sb 0.1446 0.1446 0.1446  6 O 1.96-2.11

Properties
DOS at the Fermi energy   0.636 states/eV per atom
Total DFT energy (no corrections)   -6.062 eV/atom

***

7.
Density functional theory data (PBE-GGA) for a relaxed ZrTiTlAu crystal.

Lattice parameters (Å, degrees): 4.8565 4.8565 4.8565 60.00 60.00 60.00
Last column: nearest neighbours and their distance in Å.
Fractional coordinates of all 4 atoms:
Tl 0.5000 0.5000 0.5000  4 Ti 2.97, 4 Zr 2.97
Au 0.0000 0.0000 0.0000  4 Zr 2.97, 4 Ti 2.97
Ti 0.2500 0.2500 0.2500  4 Au 2.97, 4 Tl 2.97
Zr 0.7500 0.7500 0.7500  4 Tl 2.97, 4 Au 2.97

Properties
DOS at the Fermi energy   0.987 states/eV per atom
Total DFT energy (no corrections)   -5.643 eV/atom
E_form   -0.12 eV per atom

***

8.
Density functional theory data (PBE-GGA) for a relaxed InSiMo2 crystal.

Lattice parameters (Å, degrees): 4.5312 4.5312 4.5312 60.00 60.00 60.00
Last column: nearest neighbours and their distance in Å.
Fractional coordinates of all 4 atoms:
Mo 0.0000 0.0000 0.0000  4 Mo 2.77, 4 Si 2.77
Mo 0.2500 0.2500 0.2500  4 In 2.77, 4 Mo 2.77
Si 0.7500 0.7500 0.7500  4 In 2.77, 4 Mo 2.77
In 0.5000 0.5000 0.5000  4 Si 2.77, 4 Mo 2.77

Properties
DOS at the Fermi energy   0.860 states/eV per atom
Total DFT energy (no corrections)   -7.035 eV/atom

***

9.
Density functional theory data (PBE-GGA) for a relaxed PmCu4AsP2 crystal.

Lattice parameters (Å, degrees): 3.9073 3.9073 8.4395 90.00 90.00 90.00
Last column: nearest neighbours and their distance in Å.
Fractional coordinates of all 8 atoms:
Cu 0.0000 0.5000 0.8143  2 P 2.34, 2 As 2.50
Cu 0.5000 0.0000 0.1857  2 P 2.34, 2 As 2.50
Cu 0.0000 0.5000 0.1857  2 P 2.34, 2 As 2.50
Cu 0.5000 0.0000 0.8143  2 P 2.34, 2 As 2.50
As 0.0000 0.0000 0.0000  8 Cu 2.50
Pm 0.0000 0.0000 0.5000  8 P 3.08, 8 Cu 3.29
P 0.5000 0.5000 0.3384  4 Cu 2.34
P 0.5000 0.5000 0.6616  4 Cu 2.34

Properties
DOS at the Fermi energy   0.251 states/eV per atom
Total DFT energy (no corrections)   -4.991 eV/atom
E_form   -0.42 eV per atom

***

10.
Density functional theory data (PBE-GGA) for a relaxed Ta3NbSe8 crystal.

Lattice parameters (Å, degrees): 6.9661 6.9706 7.8905 115.35 90.00 119.98
Last column: nearest neighbours and their distance in Å.
Fractional coordinates of all 12 atoms:
Se 0.2465 0.4929 0.2439  2 Ta 2.61, 1 Nb 2.63
Se 0.7451 0.4903 0.2429  3 Ta 2.61
Se 0.7435 0.9899 0.2440  2 Ta 2.61, 1 Nb 2.63
Se 0.2565 0.0101 0.7560  2 Ta 2.61, 1 Nb 2.63
Se 0.2465 0.9899 0.2440  2 Ta 2.61, 1 Nb 2.63
Se 0.7535 0.0101 0.7560  2 Ta 2.61, 1 Nb 2.63
Se 0.2549 0.5097 0.7571  3 Ta 2.61
Se 0.7535 0.5071 0.7561  2 Ta 2.61, 1 Nb 2.63
Ta 0.5000 0.0000 0.0000  6 Se 2.61
Ta 0.0000 0.5000 0.0000  6 Se 2.61
Ta 0.5000 0.5000 0.0000  6 Se 2.61
Nb 0.0000 0.0000 0.0000  6 Se 2.63

Properties
DOS at the Fermi energy   0.677 states/eV per atom
Total DFT energy (no corrections)   -6.927 eV/atom

***

11.
Density functional theory data (PBE-GGA) for a relaxed MgZrAg2 crystal.

Lattice parameters (Å, degrees): 5.2402 5.2402 5.3327 80.50 80.50 32.99
Last column: nearest neighbours and their distance in Å.
Fractional coordinates of all 4 atoms:
Mg 0.4906 0.4906 0.5488  7 Ag 2.85-3.17, 2 Mg 2.98, 1 Zr 3.18
Zr 0.2573 0.2573 0.2137  7 Ag 2.87-3.06, 2 Zr 2.98, 1 Mg 3.18
Ag 0.0076 0.0076 0.0192  3 Zr 2.87-2.95, 4 Mg 2.95-3.17, 4 Ag 2.98-3.02
Ag 0.7444 0.7444 0.7183  3 Mg 2.85-2.90, 4 Ag 2.98-3.02, 4 Zr 3.05-3.06

Properties
DOS at the Fermi energy   0.620 states/eV per atom
Total DFT energy (no corrections)   -3.987 eV/atom
E_form   -0.03 eV per atom

***

12.
Density functional theory data (PBE-GGA) for a relaxed YAs2Ir crystal.

Lattice parameters (Å, degrees): 4.9479 4.9479 4.9253 72.01 72.01 44.21
Last column: nearest neighbours and their distance in Å.
Fractional coordinates of all 4 atoms:
As 0.7704 0.7704 0.6984  3 Ir 2.62-2.80, 1 As 2.84
As 0.0062 0.0062 0.9543  2 Ir 2.55, 1 As 2.84
Ir 0.4823 0.4823 0.6181  5 As 2.55-2.80
Y 0.2412 0.2412 0.2292  7 As 2.90-3.15, 3 Ir 3.08-3.12

Properties
DOS at the Fermi energy   0.481 states/eV per atom
Total DFT energy (no corrections)   -6.682 eV/atom
E_form   -0.53 eV per atom